! Y2V2Cd (GGA-PBE, relaxed); values from VASP
&SYSTEM
  ibrav = 0, nat = 5, ntyp = 3
/
ATOMIC_SPECIES
V 50.94 V.upf
Y 88.91 Y.upf
Cd 112.41 Cd.upf
CELL_PARAMETERS angstrom
-4.171 -1.581 -0.403
0.613 -2.544 3.634
-3.821 2.435 5.108
ATOMIC_POSITIONS angstrom
V -2.086 -1.385 2.142
V -5.292 -0.305 6.197
Y -4.885 -0.604 3.160
Y -2.493 -1.086 5.179
Cd 0.000 0.000 0.000
! **ΔH_f (0 K)**: 0.71 eV/atom
! **ρ**: 5.4 g/cm³
! **Crystal system**: tetragonal
! **Density of states at the Fermi level**: 1.344 states/eV per atom
! **Space-group type**: I4/mmm, No. 139